The following is a PBE calculation of a geometry-optimized RbUSeO5 structure, from Alexandria.

Geometry as CIF:
```
data_RbUSeO5
_chemical_formula_sum 'Rb4 U4 Se4 O20'
_space_group_name_H-M_alt 'C 1 2/c 1'
_space_group_IT_number 15
_space_group_name_Hall '-C 2yc'
_cell_length_a 7.097
_cell_length_b 10.968
_cell_length_c 8.108
_cell_angle_alpha 90.00
_cell_angle_beta 94.97
_cell_angle_gamma 90.00
loop_
_atom_site_label
_atom_site_type_symbol
_atom_site_fract_x
_atom_site_fract_y
_atom_site_fract_z
_atom_site_occupancy
Rb1 Rb 0.000 0.146 0.250 1
U1 U 0.000 0.500 0.000 1
Se1 Se 0.000 0.204 0.750 1
O1 O 0.000 0.437 0.250 1
O2 O 0.074 0.299 0.599 1
O3 O 0.241 0.033 0.999 1
```

Calculated values
- uncorrected energy (eV/atom) = -7.17
- ΔE_f (raw) (meV/atom) = -2103.4
- size of the total moment (μB per formula unit) = 1.000

The following is a PBE calculation of a geometry-optimized ErGa3Os structure, from Alexandria.

Geometry as CIF:
```
data_ErGa3Os
_chemical_formula_sum 'Er3 Ga9 Os3'
_space_group_name_H-M_alt 'P m -3 m'
_space_group_IT_number 221
_space_group_name_Hall '-P 4 2 3'
_cell_length_a 6.403
_cell_length_b 6.403
_cell_length_c 6.403
_cell_angle_alpha 90.00
_cell_angle_beta 90.00
_cell_angle_gamma 90.00
loop_
_atom_site_label
_atom_site_type_symbol
_atom_site_fract_x
_atom_site_fract_y
_atom_site_fract_z
_atom_site_occupancy
Er1 Er 0.000 0.000 0.500 1
Ga1 Ga 0.000 0.000 0.000 1
Ga2 Ga 0.287 0.287 0.287 1
Os1 Os 0.000 0.500 0.500 1
```

Calculated values
- uncorrected energy (eV/atom) = -5.46
- size of the total moment (μB per formula unit) = 0.000
- polymorph energy (0 for the lowest one) (meV per atom) = 0

The following is a PBE calculation of a geometry-optimized Li2Dy3Si4 structure, from Alexandria.

Geometry as CIF:
```
data_Li2Dy3Si4
_chemical_formula_sum 'Li4 Dy6 Si8'
_space_group_name_H-M_alt 'C 1 2/m 1'
_space_group_IT_number 12
_space_group_name_Hall '-C 2y'
_cell_length_a 10.538
_cell_length_b 4.173
_cell_length_c 8.166
_cell_angle_alpha 90.00
_cell_angle_beta 107.12
_cell_angle_gamma 90.00
loop_
_atom_site_label
_atom_site_type_symbol
_atom_site_fract_x
_atom_site_fract_y
_atom_site_fract_z
_atom_site_occupancy
Li1 Li 0.157 0.000 0.326 1
Dy1 Dy 0.000 0.500 0.000 1
Dy2 Dy 0.144 0.000 0.681 1
Si1 Si 0.068 0.500 0.401 1
Si2 Si 0.216 0.000 0.055 1
```

Calculated values
- uncorrected energy (eV/atom) = -4.98
- ΔE_f (raw) (meV/atom) = -608.7
- size of the total moment (μB per formula unit) = 0.000

The following is a PBE calculation of a geometry-optimized Sm5Ir2Pb structure, from Alexandria.

Geometry as CIF:
```
data_Sm5Ir2Pb
_chemical_formula_sum 'Sm20 Ir8 Pb4'
_space_group_name_H-M_alt 'I 4/m c m'
_space_group_IT_number 140
_space_group_name_Hall '-I 4 2c'
_cell_length_a 7.952
_cell_length_b 7.952
_cell_length_c 13.923
_cell_angle_alpha 90.00
_cell_angle_beta 90.00
_cell_angle_gamma 90.00
loop_
_atom_site_label
_atom_site_type_symbol
_atom_site_fract_x
_atom_site_fract_y
_atom_site_fract_z
_atom_site_occupancy
Sm1 Sm 0.000 0.000 0.000 1
Sm2 Sm 0.160 0.340 0.132 1
Ir1 Ir 0.139 0.361 0.500 1
Pb1 Pb 0.000 0.000 0.250 1
```

Calculated values
- uncorrected energy (eV/atom) = -6.26
- size of the total moment (μB per formula unit) = 0.000